# meta-GGA SCAN InAg2, single point on PBEsol structure
data_InAg2
_chemical_formula_sum 'In2 Ag4'
_cell_length_a 5.6134
_cell_length_b 5.6134
_cell_length_c 6.9653
_cell_angle_alpha 106.88
_cell_angle_beta 106.88
_cell_angle_gamma 31.78
_space_group_name_H-M_alt 'P 1'
_space_group_IT_number 1
_space_group_name_Hall 'P 1'
loop_
_atom_site_label
_atom_site_type_symbol
_atom_site_fract_x
_atom_site_fract_y
_atom_site_fract_z
_atom_site_occupancy
In1 In 0.1817 0.1817 0.1451 1
In2 In 0.8183 0.8183 0.8549 1
Ag1 Ag 0.1385 0.1385 0.5288 1
Ag2 Ag 0.4638 0.4638 0.2054 1
Ag3 Ag 0.5362 0.5362 0.7946 1
Ag4 Ag 0.8615 0.8615 0.4712 1
# - Density of states at the Fermi level: 1.70 states/eV per cell
# - Symmetry: C2/m, No. 12
# - Energy of formation from the pure elements: 0.002 eV per atom
# - Calculated total energy: -32.038 eV/atom
# - Size of the total moment: 0.00 Bohr magnetons per cell